1.
VASP calculation (PBE-GGA) on a geometry-optimized LiLa2PaP4 structure.

It has space group P2/m (No. 10), with a = 7.055 Å, b = 4.200 Å, c = 7.094 Å, α = 90.00°, β = 109.06° and γ = 90.00°. Symmetry generates all atoms from Li at (0.000, 0.000, 0.000), La at (0.000, 0.500, 0.500), La at (0.500, 0.000, 0.500), Pa at (0.500, 0.500, 0.000), P at (0.262, 0.000, 0.773) and P at (0.263, 0.500, 0.234).

The raw total energy is -6.4966 eV per atom. For the energy of formation from the pure elements, the calculation gives -9.07 eV/f.u. The total magnetization is 0.0 μB per cell.

=====

2.
VASP calculation (PBE-GGA) on a geometry-optimized Ca2Tl8Hg structure.

It has space group C2/m (No. 12), with a = 15.164 Å, b = 6.374 Å, c = 7.381 Å, α = 90.00°, β = 109.95° and γ = 90.00°. Symmetry generates all atoms from Ca at (0.167, 0.000, 0.301), Tl at (0.076, 0.257, 0.885), Tl at (0.105, 0.500, 0.468), Tl at (0.245, 0.000, 0.789) and Hg at (0.000, 0.000, 0.500).

The raw total energy is -2.2145 eV per atom. For the energy of formation from the pure elements, the calculation gives -1.12 eV/f.u. The total magnetization is 0.0 μB per cell.

=====

- total magnetization of number 2 (Ca2Tl8Hg)?
  0.0 μB per cell